# TaBeAu | Alexandria | GGA-PBE | optimized geometry
data_TaBeAu
_chemical_formula_sum 'Ta1 Be1 Au1'
_cell_length_a 4.2007
_cell_length_b 4.2007
_cell_length_c 2.9439
_cell_angle_alpha 90.00
_cell_angle_beta 90.00
_cell_angle_gamma 120.00
_symmetry_space_group_name_H-M 'P -6 m 2'
_symmetry_Int_Tables_number 187
_symmetry_space_group_name_Hall 'P -6 2'
loop_
_atom_site_label
_atom_site_type_symbol
_atom_site_fract_x
_atom_site_fract_y
_atom_site_fract_z
Ta1 Ta 0.0000 0.0000 0.0000
Be1 Be 0.6667 0.3333 0.5000
Au1 Au 0.3333 0.6667 0.5000
# - energy relative to the elements (eV/atom) = -0.005
# - distance to the lowest polymorph of the same formula (meV per atom) = 238

# TaBeAu2 | Alexandria | GGA-PBE | optimized geometry
data_TaBeAu2
_chemical_formula_sum 'Ta4 Be4 Au8'
_cell_length_a 3.886
_cell_length_b 3.886
_cell_length_c 18.258
_cell_angle_alpha 90.00
_cell_angle_beta 90.00
_cell_angle_gamma 90.00
_symmetry_space_group_name_H-M 'I -4 2 d'
_symmetry_Int_Tables_number 122
_symmetry_space_group_name_Hall 'I -4 2bw'
loop_
_atom_site_label
_atom_site_type_symbol
_atom_site_fract_x
_atom_site_fract_y
_atom_site_fract_z
Ta1 Ta 0.000 0.000 0.000
Be1 Be 0.000 0.000 0.500
Au1 Au 0.236 0.250 0.625
# - energy relative to the elements (eV/atom) = 0.433

# TaBeAu | Alexandria | GGA-PBE | optimized geometry
data_TaBeAu
_chemical_formula_sum 'Ta2 Be2 Au2'
_cell_length_a 3.5971
_cell_length_b 3.5971
_cell_length_c 9.4393
_cell_angle_alpha 90.00
_cell_angle_beta 90.00
_cell_angle_gamma 120.00
_symmetry_space_group_name_H-M 'P 63/m m c'
_symmetry_Int_Tables_number 194
_symmetry_space_group_name_Hall '-P 6c 2c'
loop_
_atom_site_label
_atom_site_type_symbol
_atom_site_fract_x
_atom_site_fract_y
_atom_site_fract_z
Ta1 Ta 0.0000 0.0000 0.0000
Be1 Be 0.0000 0.0000 0.2500
Au1 Au 0.3333 0.6667 0.2500
# - energy relative to the elements (eV/atom) = 0.919
# - distance to the lowest polymorph of the same formula (meV per atom) = 1163

# Ta2Be16Au | Alexandria | GGA-PBE | optimized geometry
data_Ta2Be16Au
_chemical_formula_sum 'Ta6 Be48 Au3'
_cell_length_a 7.5230
_cell_length_b 7.5230
_cell_length_c 10.9508
_cell_angle_alpha 90.00
_cell_angle_beta 90.00
_cell_angle_gamma 120.00
_symmetry_space_group_name_H-M 'R 3 m'
_symmetry_Int_Tables_number 160
_symmetry_space_group_name_Hall 'R 3 -2"'
loop_
_atom_site_label
_atom_site_type_symbol
_atom_site_fract_x
_atom_site_fract_y
_atom_site_fract_z
Ta1 Ta 0.0000 0.0000 0.0000
Ta2 Ta 0.0000 0.0000 0.3088
Be1 Be 0.0000 0.0000 0.5371
Be2 Be 0.0005 0.3030 0.6494
Be3 Be 0.0056 0.5028 0.8055
Be4 Be 0.0110 0.5055 0.1486
Be5 Be 0.1739 0.3478 0.8267
Au1 Au 0.0000 0.0000 0.7440
# - energy relative to the elements (eV/atom) = -0.183

# TaBeAu2 | Alexandria | GGA-PBE | optimized geometry
data_TaBeAu2
_chemical_formula_sum 'Ta2 Be2 Au4'
_cell_length_a 3.769
_cell_length_b 2.996
_cell_length_c 11.293
_cell_angle_alpha 90.00
_cell_angle_beta 90.00
_cell_angle_gamma 90.00
_symmetry_space_group_name_H-M 'A m m 2'
_symmetry_Int_Tables_number 38
loop_
_symmetry_equiv_pos_as_xyz
'x,y,z'
'-x,-y,z'
'-x,y,z'
'x,-y,z'
'x,y+1/2,z+1/2'
'-x,-y+1/2,z+1/2'
'-x,y+1/2,z+1/2'
'x,-y+1/2,z+1/2'
loop_
_atom_site_label
_atom_site_type_symbol
_atom_site_fract_x
_atom_site_fract_y
_atom_site_fract_z
Ta1 Ta 0.000 0.000 0.000
Be1 Be 0.500 0.000 0.401
Au1 Au 0.000 0.000 0.277
Au2 Au 0.500 0.000 0.630
# - energy relative to the elements (eV/atom) = 0.011

# TaBeAu | Alexandria | GGA-PBE | optimized geometry
data_TaBeAu
_chemical_formula_sum 'Ta2 Be2 Au2'
_cell_length_a 3.845
_cell_length_b 3.845
_cell_length_c 6.149
_cell_angle_alpha 90.00
_cell_angle_beta 90.00
_cell_angle_gamma 90.00
_symmetry_space_group_name_H-M 'P 4/n m m'
_symmetry_Int_Tables_number 129
loop_
_symmetry_equiv_pos_as_xyz
'x,y,z'
'-x,-y,-z'
'-y+1/2,x,z'
'y+1/2,-x,-z'
'-x+1/2,-y+1/2,z'
'x+1/2,y+1/2,-z'
'y,-x+1/2,z'
'-y,x+1/2,-z'
'x+1/2,-y,-z'
'-x+1/2,y,z'
'-y,-x,-z'
'y,x,z'
'-x,y+1/2,-z'
'x,-y+1/2,z'
'y+1/2,x+1/2,-z'
'-y+1/2,-x+1/2,z'
loop_
_atom_site_label
_atom_site_type_symbol
_atom_site_fract_x
_atom_site_fract_y
_atom_site_fract_z
Ta1 Ta 0.250 0.250 0.151
Be1 Be 0.250 0.750 0.500
Au1 Au 0.250 0.250 0.710
# - energy relative to the elements (eV/atom) = 0.058
# - distance to the lowest polymorph of the same formula (meV per atom) = 302

Volume / Å³ per atom: 15.0 17.2 17.6 9.4 15.9 15.1
Total moment / μB per formula unit: 0.00 0.00 0.00 0.00 0.00 0.00
Total DFT energy (no corrections) / hartree per atom: -0.231 -0.187 -0.197 -0.174 -0.203 -0.229